# NaTl3Ag3

NaTl3Ag3 after structural relaxation (PBE, the Alexandria database). Values from VASP.

Quantum ESPRESSO input file:
```
&SYSTEM
  ibrav = 0, nat = 14, ntyp = 3
/
ATOMIC_SPECIES
Na 22.99 Na.upf
Tl 204.38 Tl.upf
Ag 107.87 Ag.upf
ATOMIC_POSITIONS crystal
Na 0.500 0.500 0.500
Na 0.000 0.000 0.000
Tl 0.250 0.000 0.500
Tl 0.000 0.500 0.250
Tl 0.500 0.750 0.000
Tl 0.750 0.000 0.500
Tl 0.000 0.500 0.750
Tl 0.500 0.250 0.000
Ag 0.000 0.250 0.500
Ag 0.000 0.750 0.500
Ag 0.500 0.000 0.750
Ag 0.750 0.500 0.000
Ag 0.500 0.000 0.250
Ag 0.250 0.500 0.000
CELL_PARAMETERS angstrom
7.907 0.000 0.000
0.000 7.907 0.000
0.000 0.000 7.907
```

Computed properties:
**Magnetization**: 0.000 μB/f.u.
**Space-group type**: Pm-3n
**Crystal system**: cubic
**Calculated formation energy**: 0.3295 eV/atom

***

# Sr2LiZnRh2

Sr2LiZnRh2 after structural relaxation (PBE, the Alexandria database). Values from VASP.

Quantum ESPRESSO input file:
```
&SYSTEM
  ibrav = 0, nat = 12, ntyp = 4
/
ATOMIC_SPECIES
Sr 87.62 Sr.upf
Li 6.94 Li.upf
Zn 65.41 Zn.upf
Rh 102.91 Rh.upf
ATOMIC_POSITIONS crystal
Sr 0.416 0.166 0.333
Sr 0.584 0.834 0.667
Sr 0.083 0.334 0.667
Sr 0.917 0.666 0.333
Li 0.000 0.750 0.000
Li 0.000 0.250 0.000
Zn 0.500 0.750 0.000
Zn 0.500 0.250 0.000
Rh 0.843 0.105 0.209
Rh 0.367 0.605 0.209
Rh 0.633 0.395 0.791
Rh 0.157 0.895 0.791
CELL_PARAMETERS angstrom
5.981 0.000 0.000
0.000 6.024 0.000
-2.991 -3.012 7.424
```

Computed properties:
**Magnetization**: 0.000 μB/f.u.
**Space-group type**: Ibam
**Crystal system**: orthorhombic
**Calculated formation energy**: -0.2408 eV/atom

***

# Sc2ReMo

Sc2ReMo after structural relaxation (PBE, the Alexandria database). Values from VASP.

Quantum ESPRESSO input file:
```
&SYSTEM
  ibrav = 0, nat = 4, ntyp = 3
/
ATOMIC_SPECIES
Mo 95.94 Mo.upf
Re 186.21 Re.upf
Sc 44.96 Sc.upf
ATOMIC_POSITIONS crystal
Mo 0.000 0.000 0.521
Re 0.500 0.500 0.735
Sc 0.000 0.000 0.967
Sc 0.500 0.500 0.278
CELL_PARAMETERS angstrom
-0.033 2.315 1.705
-2.651 -0.544 -0.970
-1.617 -5.586 7.551
```

Computed properties:
**Magnetization**: 0.000 μB/f.u.
**Space-group type**: Cmm2
**Crystal system**: orthorhombic
**Energy above the lowest structure with this stoichiometry**: 0.218 eV/atom
**Calculated formation energy**: 0.1288 eV/atom

***

# Ba2MgCr

Ba2MgCr after structural relaxation (PBE, the Alexandria database). Values from VASP.

Quantum ESPRESSO input file:
```
&SYSTEM
  ibrav = 0, nat = 4, ntyp = 3
/
ATOMIC_SPECIES
Ba 137.33 Ba.upf
Cr 52.00 Cr.upf
Mg 24.30 Mg.upf
ATOMIC_POSITIONS crystal
Ba 0.000 0.000 0.934
Ba 0.500 0.500 0.319
Cr 0.000 0.000 0.563
Mg 0.500 0.500 0.684
CELL_PARAMETERS angstrom
4.055 -0.027 0.000
0.029 4.055 0.000
0.000 0.000 9.508
```

Computed properties:
**Magnetization**: 4.500 μB/f.u.
**Space-group type**: P4mm
**Crystal system**: tetragonal
**Calculated formation energy**: 0.3917 eV/atom

***

# Nb2BiMo2

Nb2BiMo2 after structural relaxation (PBE, the Alexandria database). Values from VASP.

Quantum ESPRESSO input file:
```
&SYSTEM
  ibrav = 0, nat = 10, ntyp = 3
/
ATOMIC_SPECIES
Mo 95.94 Mo.upf
Bi 208.98 Bi.upf
Nb 92.91 Nb.upf
ATOMIC_POSITIONS crystal
Mo 0.365 0.865 0.000
Mo 0.865 0.635 0.000
Mo 0.635 0.135 0.000
Mo 0.135 0.365 0.000
Bi 0.000 0.000 0.000
Bi 0.500 0.500 0.000
Nb 0.148 0.648 0.500
Nb 0.648 0.852 0.500
Nb 0.852 0.352 0.500
Nb 0.352 0.148 0.500
CELL_PARAMETERS angstrom
7.811 0.000 0.000
0.000 7.811 0.000
0.000 0.000 3.224
```

Computed properties:
**Magnetization**: 0.000 μB/f.u.
**Space-group type**: P4/mbm
**Crystal system**: tetragonal
**Energy above the lowest structure with this stoichiometry**: 0.000 eV/atom
**Calculated formation energy**: 0.5416 eV/atom

***

# KHfPdF7

KHfPdF7 after structural relaxation (PBE, the Alexandria database). Values from VASP.

Quantum ESPRESSO input file:
```
&SYSTEM
  ibrav = 0, nat = 40, ntyp = 4
/
ATOMIC_SPECIES
K 39.10 K.upf
Hf 178.49 Hf.upf
Pd 106.42 Pd.upf
F 19.00 F.upf
ATOMIC_POSITIONS crystal
K 0.269 0.000 0.250
K 0.231 0.500 0.250
K 0.731 0.000 0.750
K 0.769 0.500 0.750
Hf 0.750 0.750 0.408
Hf 0.750 0.250 0.092
Hf 0.250 0.250 0.592
Hf 0.250 0.750 0.908
Pd 0.250 0.750 0.599
Pd 0.250 0.250 0.901
Pd 0.750 0.250 0.401
Pd 0.750 0.750 0.099
F 0.950 0.181 0.547
F 0.950 0.819 0.953
F 0.550 0.681 0.953
F 0.550 0.319 0.547
F 0.050 0.819 0.453
F 0.050 0.181 0.047
F 0.450 0.319 0.047
F 0.450 0.681 0.453
F 0.250 0.750 0.081
F 0.250 0.250 0.419
F 0.750 0.250 0.919
F 0.750 0.750 0.581
F 0.933 0.792 0.256
F 0.933 0.208 0.244
F 0.567 0.292 0.244
F 0.567 0.708 0.256
F 0.067 0.208 0.744
F 0.067 0.792 0.756
F 0.433 0.708 0.756
F 0.433 0.292 0.744
F 0.651 0.014 0.105
F 0.651 0.986 0.395
F 0.849 0.514 0.395
F 0.849 0.486 0.105
F 0.349 0.986 0.895
F 0.349 0.014 0.605
F 0.151 0.486 0.605
F 0.151 0.514 0.895
CELL_PARAMETERS angstrom
-1.748 -5.828 2.218
6.845 -0.415 4.304
-5.321 5.000 8.945
```

Computed properties:
**Magnetization**: 2.000 μB/f.u.
**Space-group type**: Pnna
**Crystal system**: orthorhombic
**Formation energy from raw total energies**: -2847.4 meV per atom